# Hg3PdN

A relaxed Hg3PdN crystal (PBE, Alexandria via LeMat-Bulk).

Summary:
Density of states at the Fermi level, states/eV/f.u.: 1.71
E_form (uncorrected), eV/atom: 0.9844
Calculated volume, Å³/cell: 153.0
Energy relative to the lowest polymorph listed for this composition, meV/atom: 89

POSCAR file:
```
Hg3PdN
1.0
5.3484 0.0000 0.0000
0.0000 5.3484 0.0000
0.0000 0.0000 5.3484
Hg Pd N
3 1 1
direct
0.0000 0.5000 0.0000
0.0000 0.0000 0.5000
0.5000 0.0000 0.0000
0.0000 0.0000 0.0000
0.5000 0.5000 0.5000
```



# KY2Au

A relaxed KY2Au crystal (PBE, Alexandria via LeMat-Bulk).

Summary:
Density of states at the Fermi level, states/eV/f.u.: 7.11
Calculated volume, Å³/cell: 112.9
Energy relative to the lowest polymorph listed for this composition, meV/atom: 376

POSCAR file:
```
KY2Au
1.0
-0.6685 3.0521 4.1044
-1.6519 -4.0435 2.7440
3.9835 -0.7889 1.2355
Au K Y
1 1 2
direct
0.5000 0.0000 0.5000
0.0000 0.5000 0.5000
0.0000 0.0000 0.0000
0.5000 0.5000 0.0000
```



# SrIn4Pd

A relaxed SrIn4Pd crystal (PBE, Alexandria via LeMat-Bulk).

Summary:
Density of states at the Fermi level, states/eV/f.u.: 2.69
Electronic total energy, eV/atom: -3.423
Calculated volume, Å³/cell: 303.7

POSCAR file:
```
SrIn4Pd
1.0
-0.4822 -4.1490 -2.0145
6.8276 -1.9966 2.4776
-3.3170 -1.0376 8.3045
Sr Pd In
2 2 8
direct
0.1229 0.7500 0.2480
0.8771 0.2500 0.7520
0.2246 0.2500 0.4492
0.7754 0.7500 0.5508
0.5000 0.5000 0.0000
0.5000 0.0000 0.0000
0.6838 0.0494 0.3689
0.3162 0.9506 0.6311
0.3162 0.5494 0.6311
0.6838 0.4506 0.3689
0.0691 0.2500 0.1377
0.9309 0.7500 0.8623
```



# NpZn2PbO8

A relaxed NpZn2PbO8 crystal (PBE, Alexandria via LeMat-Bulk).

Summary:
Density of states at the Fermi level, states/eV/f.u.: 8.17
E_form (uncorrected), eV/atom: -1.3874
Calculated volume, Å³/cell: 160.0

POSCAR file:
```
NpZn2PbO8
1.0
5.9038 0.5507 0.0000
-2.1250 5.5356 0.0000
-1.8894 -3.0432 4.7252
Np Zn Pb O
1 2 1 8
direct
0.0000 0.0000 0.0000
0.7500 0.2500 0.5000
0.5000 0.5000 0.0000
0.2500 0.7500 0.5000
0.3473 0.0527 0.2946
0.2905 0.4715 0.1809
0.2905 0.1096 0.8191
0.7580 0.0527 0.7054
0.8904 0.7095 0.1809
0.9473 0.2420 0.2946
0.9473 0.6527 0.7054
0.5285 0.7095 0.8191
```



# SrZn6Ni2

A relaxed SrZn6Ni2 crystal (PBE, Alexandria via LeMat-Bulk).

Summary:
Density of states at the Fermi level, states/eV/f.u.: 5.24
Electronic total energy, eV/atom: -2.329
Calculated volume, Å³/cell: 162.5

POSCAR file:
```
SrZn6Ni2
1.0
4.1157 0.0000 0.0000
2.0579 6.6358 1.0205
2.0579 2.3102 6.3038
Sr Zn Ni
1 6 2
direct
0.0000 0.0000 0.0000
0.7086 0.0987 0.4841
0.2914 0.9013 0.5159
0.2914 0.5159 0.9013
0.5000 0.6719 0.3281
0.5000 0.3281 0.6719
0.7086 0.4841 0.0987
0.8760 0.6240 0.6240
0.1240 0.3760 0.3760
```



# Fe4SbRh

A relaxed Fe4SbRh crystal (PBE, Alexandria via LeMat-Bulk).

Summary:
Density of states at the Fermi level, states/eV/f.u.: 6.65
E_form (uncorrected), eV/atom: 0.1020
Calculated volume, Å³/cell: 81.9

POSCAR file:
```
Fe4SbRh
1.0
3.0187 2.8225 2.5843
-1.4086 1.7574 4.3226
2.0181 -1.7016 4.0975
Fe Sb Rh
4 1 1
direct
0.3749 0.8754 0.3749
0.8754 0.3749 0.3749
0.3749 0.3749 0.8754
0.3749 0.3749 0.3749
0.0000 0.0000 0.0000
0.7500 0.7500 0.7500
```



# LaDyTmMg

A relaxed LaDyTmMg crystal (PBE, Alexandria via LeMat-Bulk).

Summary:
Density of states at the Fermi level, states/eV/f.u.: 6.31
Calculated volume, Å³/cell: 122.1
Energy relative to the lowest polymorph listed for this composition, meV/atom: 0

POSCAR file:
```
LaDyTmMg
1.0
-2.6947 -2.4840 -0.4570
1.4837 -1.0162 -3.2259
4.9550 -6.1512 4.2167
La Dy Tm Mg
1 1 1 1
direct
0.0000 0.0000 0.0738
0.5000 0.5000 0.7895
0.5000 0.5000 0.3531
0.0000 0.0000 0.5682
```



# Tb6PmHo2Er3

A relaxed Tb6PmHo2Er3 crystal (PBE, Alexandria via LeMat-Bulk).

Summary:
Density of states at the Fermi level, states/eV/f.u.: 15.43
Electronic total energy, eV/atom: -4.598
Calculated volume, Å³/cell: 378.3

POSCAR file:
```
Tb6PmHo2Er3
1.0
-0.9774 0.5503 6.0386
4.7141 -3.3611 -2.0501
5.5505 10.3046 -1.0774
Tb Pm Ho Er
6 1 2 3
direct
0.9159 0.5820 0.7482
0.7501 0.7501 0.2517
0.0841 0.4180 0.2518
0.5820 0.9159 0.7482
0.2499 0.2499 0.7483
0.4180 0.0841 0.2518
0.0000 0.0000 0.0000
0.3333 0.6667 0.0000
0.6667 0.3333 0.0000
0.1669 0.8331 0.5000
0.8331 0.1669 0.5000
0.5000 0.5000 0.5000
```



Which of these has the highest calculated volume? Tb6PmHo2Er3



Among the records above, which one has the lowest density of states at the Fermi level? Hg3PdN



Which value of calculated volume does entry 1 give? 153.0 Å³/cell



Copy entry 3 word for word.
# SrIn4Pd

A relaxed SrIn4Pd crystal (PBE, Alexandria via LeMat-Bulk).

Summary:
Density of states at the Fermi level, states/eV/f.u.: 2.69
Electronic total energy, eV/atom: -3.423
Calculated volume, Å³/cell: 303.7

POSCAR file:
```
SrIn4Pd
1.0
-0.4822 -4.1490 -2.0145
6.8276 -1.9966 2.4776
-3.3170 -1.0376 8.3045
Sr Pd In
2 2 8
direct
0.1229 0.7500 0.2480
0.8771 0.2500 0.7520
0.2246 0.2500 0.4492
0.7754 0.7500 0.5508
0.5000 0.5000 0.0000
0.5000 0.0000 0.0000
0.6838 0.0494 0.3689
0.3162 0.9506 0.6311
0.3162 0.5494 0.6311
0.6838 0.4506 0.3689
0.0691 0.2500 0.1377
0.9309 0.7500 0.8623
```